The following is a meta-GGA SCAN calculation of a PBEsol-optimized structure of ZnCuW, from Alexandria via LeMat-Bulk.

Calculated values
Its relative energy among the computed polymorphs is 136 meV/atom. As for the total energy: -31.579 eV per atom. For the formation energy from the elements, the calculation gives 1221.5 meV per atom. The calculation puts the density of states at the Fermi level at 2.31 states/eV per cell.

```
ZnCuW
1.0
0.0000 2.9085 2.9085
2.9085 0.0000 2.9085
2.9085 2.9085 0.0000
Zn Cu W
1 1 1
direct
0.0000 0.0000 0.0000 Zn
0.5000 0.5000 0.5000 Cu
0.2500 0.2500 0.2500 W
```